Record 1
A plane-wave DFT calculation with PBE was carried out for a relaxed In6Sn crystal.

Computed properties:
Energy relative to the lowest polymorph listed for this composition   0.0 meV per atom
Formation enthalpy at 0 K   0.033 eV/atom

The structure in POSCAR format:
```
In6Sn
1.0
-1.324 2.704 -1.051
-6.121 -2.163 5.374
7.052 3.409 3.111
In Sn
6 1
direct
0.542 0.570 0.850
0.692 0.150 0.720
0.028 0.720 0.570
0.972 0.280 0.430
0.308 0.850 0.280
0.458 0.430 0.150
0.500 0.000 0.000
```


Record 2
A plane-wave DFT calculation with PBE was carried out for a relaxed TbSc3Pd2 crystal.

Computed properties:
Formation enthalpy at 0 K   -0.633 eV/atom

The structure in POSCAR format:
```
TbSc3Pd2
1.0
-2.890 -1.114 -3.454
-2.823 -4.732 3.888
-5.535 5.619 2.819
Tb Sc Pd
2 6 4
direct
0.500 0.517 0.572
0.500 0.017 0.428
0.000 0.481 0.930
0.000 0.981 0.070
0.500 0.646 0.165
0.500 0.146 0.835
0.000 0.357 0.316
0.000 0.857 0.684
0.500 0.747 0.851
0.500 0.247 0.149
0.000 0.253 0.658
0.000 0.753 0.342
```


Record 3
A plane-wave DFT calculation with PBE was carried out for a relaxed LaPm2Se4 crystal.

Computed properties:
Raw formation energy   -1.71 eV per atom

The structure in POSCAR format:
```
LaPm2Se4
1.0
4.158 0.000 0.000
-2.079 4.979 0.000
0.000 0.000 21.472
La Pm Se
2 4 8
direct
0.764 0.529 0.750
0.236 0.471 0.250
0.939 0.878 0.091
0.061 0.122 0.591
0.939 0.878 0.409
0.061 0.122 0.909
0.229 0.458 0.115
0.229 0.458 0.385
0.771 0.542 0.885
0.771 0.542 0.615
0.056 0.113 0.750
0.944 0.887 0.250
0.500 0.000 0.000
0.500 0.000 0.500
```


Record 4
A plane-wave DFT calculation with PBE was carried out for a relaxed TaOs3 crystal.

Computed properties:
Formation enthalpy at 0 K   3.149 eV/atom

The structure in POSCAR format:
```
TaOs3
1.0
4.810 0.000 0.000
0.000 4.810 0.000
0.000 0.000 4.810
Os Ta
3 1
direct
0.500 0.000 0.000
0.000 0.500 0.000
0.000 0.000 0.500
0.000 0.000 0.000
```